No. 1
A plane-wave DFT calculation with PBE was carried out for an optimized crystal structure of CePaAs2Ru2.

Unit cell a=4.2266 b=4.2266 c=7.7071 alpha=90.00 beta=90.00 gamma=120.00
Closest atoms and distances in Å follow each position.
Space group P-3m1 (No. 164)
Asymmetric unit:
Ce1 0.0000 0.0000 0.0000  6 As 3.00, 6 Ru 3.34
Pa1 0.0000 0.0000 0.5000  6 Ru 2.90, 6 As 3.22
As1 0.3333 0.6667 0.2273  3 Ru 2.50
Ru1 0.3333 0.6667 0.7043  3 As 2.50

Output
- Size of the total moment: 0.00 μB/cell
- DFT formation energy: -845 meV per atom

No. 2
A plane-wave DFT calculation with PBE was carried out for an optimized crystal structure of CaZrIr2.

Unit cell a=4.6000 b=4.6000 c=3.5099 alpha=90.00 beta=90.00 gamma=90.00
Closest atoms and distances in Å follow each position.
Space group P4/mmm (No. 123)
Asymmetric unit:
Ca1 0.0000 0.0000 0.0000  8 Ir 2.89
Zr1 0.5000 0.5000 0.0000  8 Ir 2.89
Ir1 0.0000 0.5000 0.5000  4 Zr 2.89, 4 Ca 2.89

Output
- Size of the total moment: 0.00 μB/cell
- DFT formation energy: -497 meV per atom

No. 3
A plane-wave DFT calculation with PBE was carried out for an optimized crystal structure of As2PdRu2.

Unit cell a=3.8496 b=3.8496 c=11.1750 alpha=90.00 beta=90.00 gamma=90.00
Closest atoms and distances in Å follow each position.
Space group I4/mmm (No. 139)
Asymmetric unit:
As1 0.0000 0.5000 0.2500  4 Ru 2.45, 4 As 2.72
Pd1 0.0000 0.0000 0.0000  8 Ru 3.01
Ru1 0.0000 0.0000 0.3850  4 As 2.45, 1 Ru 2.57

Output
- Size of the total moment: 0.00 μB/cell
- DFT formation energy: 152 meV per atom
- Energy above the most stable polymorph in this dataset: 245 meV per atom

no.,V (Å³/atom)
1,19.87
2,18.57
3,16.56